{"formula": "CaInIr2", "functional": "PBE", "state": "relaxed", "magmom_total_mub_per_cell": 0.0, "energy_ev_per_cell": -44.79, "formation_enthalpy_0k_ev_per_atom": 0.02, "cell": [[4.0558, 0.0000, 0.0000], [0.0000, 4.0558, 0.0000], [0.0000, 0.0000, 8.9154]], "species": ["Ca", "Ca", "In", "In", "Ir", "Ir", "Ir", "Ir"], "frac_coords": [[0.0000, 0.0000, 0.0000], [0.5000, 0.5000, 0.5000], [0.0000, 0.5000, 0.7500], [0.5000, 0.0000, 0.2500], [0.0000, 0.0000, 0.5000], [0.0000, 0.5000, 0.2500], [0.5000, 0.0000, 0.7500], [0.5000, 0.5000, 0.0000]]}

=====

{"formula": "Ba2Hg5Pb4", "functional": "PBE", "state": "relaxed", "magmom_total_mub_per_cell": 0.0, "energy_ev_per_cell": -22.68, "formation_enthalpy_0k_ev_per_atom": -0.23, "cell": [[6.3451, -3.5611, 0.0000], [6.3451, 3.5611, 0.0000], [-6.2493, 0.0000, 7.9294]], "species": ["Ba", "Ba", "Hg", "Hg", "Hg", "Hg", "Hg", "Pb", "Pb", "Pb", "Pb"], "frac_coords": [[0.0685, 0.0685, 0.2746], [0.9315, 0.9315, 0.7254], [0.0420, 0.6245, 0.3366], [0.3755, 0.9580, 0.6634], [0.5000, 0.5000, 0.0000], [0.6245, 0.0420, 0.3366], [0.9580, 0.3755, 0.6634], [0.2768, 0.2768, 0.0728], [0.4148, 0.4148, 0.6348], [0.5852, 0.5852, 0.3652], [0.7232, 0.7232, 0.9272]]}

=====

{"formula": "Sc5AlAu6", "functional": "PBE", "state": "relaxed", "magmom_total_mub_per_cell": 0.0, "energy_ev_per_cell": -64.13, "formation_enthalpy_0k_ev_per_atom": -0.76, "cell": [[-2.3685, 3.4059, 7.1135], [2.3685, -3.4059, 7.1135], [2.3685, 3.4059, -7.1135]], "species": ["Sc", "Sc", "Sc", "Sc", "Sc", "Al", "Au", "Au", "Au", "Au", "Au", "Au"], "frac_coords": [[0.0000, 0.0000, 0.0000], [0.1687, 0.6687, 0.5000], [0.3303, 0.3303, 0.0000], [0.6697, 0.6697, 0.0000], [0.8313, 0.3313, 0.5000], [0.5000, 0.0000, 0.5000], [0.1051, 0.8416, 0.2635], [0.2515, 0.5000, 0.7515], [0.4219, 0.1584, 0.2635], [0.5781, 0.8416, 0.7365], [0.7485, 0.5000, 0.2485], [0.8949, 0.1584, 0.7365]]}

=====

{"formula": "YTlAgHg", "functional": "PBE", "state": "relaxed", "magmom_total_mub_per_cell": 0.0, "energy_ev_per_cell": -51.79, "formation_enthalpy_0k_ev_per_atom": -0.24, "cell": [[7.2007, 0.0000, 0.0000], [0.0000, 7.2007, 0.0000], [0.0000, 0.0000, 7.2007]], "species": ["Y", "Y", "Y", "Y", "Tl", "Tl", "Tl", "Tl", "Ag", "Ag", "Ag", "Ag", "Hg", "Hg", "Hg", "Hg"], "frac_coords": [[0.0000, 0.0000, 0.0000], [0.0000, 0.5000, 0.5000], [0.5000, 0.0000, 0.5000], [0.5000, 0.5000, 0.0000], [0.2500, 0.2500, 0.7500], [0.2500, 0.7500, 0.2500], [0.7500, 0.2500, 0.2500], [0.7500, 0.7500, 0.7500], [0.0000, 0.0000, 0.5000], [0.0000, 0.5000, 0.0000], [0.5000, 0.0000, 0.0000], [0.5000, 0.5000, 0.5000], [0.2500, 0.2500, 0.2500], [0.2500, 0.7500, 0.7500], [0.7500, 0.2500, 0.7500], [0.7500, 0.7500, 0.2500]]}